<A>
Density functional theory data (PBE-GGA) for a geometry-optimized Ac3Tl2In4 structure.

abc: 4.830 8.271 8.271
angles: 120.00 90.00 90.00
Positions (direct):
Ac 0.500 0.596 0.596
Tl 0.000 0.333 0.667
In 0.000 0.245 0.245
In 0.500 0.000 0.000
Ac 0.500 0.404 0.000
Tl 0.000 0.667 0.333
Ac 0.500 0.000 0.404
In 0.000 0.000 0.755
In 0.000 0.755 0.000


<B>
Density functional theory data (PBE-GGA) for a geometry-optimized Ac3Tl2In4 structure.

abc: 4.927 6.793 10.565
angles: 63.98 76.52 68.74
Positions (direct):
In 0.968 0.698 0.366
Ac 0.000 0.000 0.000
Ac 0.664 0.342 0.330
Tl 0.356 0.977 0.311
Ac 0.336 0.658 0.670
Tl 0.644 0.023 0.689
In 0.701 0.633 0.965
In 0.032 0.302 0.634
In 0.299 0.367 0.035


Quick one: most stable of them? <B>


<A>
Density functional theory data (PBE-GGA) for a geometry-optimized Ac6TlIn structure.

abc: 7.736 7.736 7.759
angles: 103.31 103.31 120.14
Positions (direct):
Ac 0.248 0.248 0.750
Ac 0.958 0.555 0.750
Ac 0.752 0.752 0.250
Ac 0.445 0.042 0.250
Ac 0.042 0.445 0.250
Ac 0.555 0.958 0.750
In 0.000 0.000 0.000
Tl 0.500 0.500 0.500


<B>
Density functional theory data (PBE-GGA) for a geometry-optimized Ac6TlIn structure.

abc: 5.688 5.688 10.697
angles: 74.58 74.58 90.00
Positions (direct):
Ac 0.609 0.109 0.783
Ac 0.391 0.891 0.217
Ac 0.250 0.250 0.501
In 0.000 0.000 0.000
Ac 0.891 0.391 0.217
Tl 0.500 0.500 0.000
Ac 0.109 0.609 0.783
Ac 0.750 0.750 0.499


Quick one: most stable of them? <B>


<A>
Density functional theory data (PBE-GGA) for a geometry-optimized Ac8TlIn2 structure.

abc: 5.551 9.755 9.765
angles: 119.96 106.51 90.00
Positions (direct):
Ac 0.659 0.882 0.317
Ac 0.341 0.565 0.683
Ac 0.142 0.142 0.284
Ac 0.000 0.319 0.000
Ac 0.000 0.681 0.000
Tl 0.500 0.000 0.000
Ac 0.341 0.118 0.683
Ac 0.659 0.435 0.317
In 0.195 0.695 0.390
Ac 0.858 0.858 0.716
In 0.805 0.305 0.610


<B>
Density functional theory data (PBE-GGA) for a geometry-optimized Ac8TlIn2 structure.

abc: 5.684 7.760 10.696
angles: 103.11 105.41 90.00
Positions (direct):
Ac 0.979 0.237 0.959
Ac 0.339 0.032 0.678
Ac 0.795 0.691 0.591
Ac 0.407 0.537 0.814
Ac 0.205 0.309 0.409
Ac 0.593 0.463 0.186
Tl 0.500 0.000 0.000
In 0.814 0.266 0.627
Ac 0.661 0.968 0.322
Ac 0.021 0.763 0.041
In 0.186 0.734 0.373


Quick one: most stable of them? <B>


<A>
Density functional theory data (PBE-GGA) for a geometry-optimized Ac6TlIn2 structure.

abc: 6.879 9.775 10.653
angles: 90.00 84.69 90.00
Positions (direct):
Ac 0.877 0.961 0.207
Ac 0.623 0.461 0.293
Ac 0.386 0.837 0.061
Tl 0.000 0.000 0.500
Ac 0.123 0.039 0.793
Ac 0.614 0.163 0.939
Ac 0.886 0.663 0.561
Tl 0.500 0.500 0.000
In 0.916 0.377 0.756
Ac 0.590 0.183 0.562
Ac 0.910 0.683 0.938
Ac 0.090 0.317 0.062
Ac 0.114 0.337 0.439
In 0.584 0.877 0.744
Ac 0.377 0.539 0.707
In 0.084 0.623 0.244
In 0.416 0.123 0.256
Ac 0.410 0.817 0.438


<B>
Density functional theory data (PBE-GGA) for a geometry-optimized Ac6TlIn2 structure.

abc: 9.762 9.762 9.762
angles: 106.13 111.66 110.67
Positions (direct):
Ac 0.287 0.960 0.672
Ac 0.713 0.385 0.672
Tl 0.000 0.000 0.000
Ac 0.199 0.747 0.946
In 0.647 0.000 0.647
Ac 0.445 0.267 0.177
In 0.353 0.000 0.353
Ac 0.555 0.733 0.823
Tl 0.000 0.500 0.500
Ac 0.713 0.040 0.328
Ac 0.199 0.253 0.452
In 0.500 0.624 0.124
Ac 0.287 0.615 0.328
Ac 0.801 0.253 0.054
Ac 0.801 0.747 0.548
Ac 0.910 0.733 0.177
In 0.500 0.376 0.876
Ac 0.090 0.267 0.823


Quick one: most stable of them? <B>


<A>
Density functional theory data (PBE-GGA) for a geometry-optimized Ac3Tl2In3 structure.

abc: 4.991 6.682 16.905
angles: 90.00 90.00 111.93
Positions (direct):
Tl 0.777 0.554 0.894
In 0.617 0.234 0.039
In 0.622 0.243 0.750
Ac 0.929 0.857 0.388
Ac 0.929 0.857 0.112
In 0.378 0.757 0.250
In 0.383 0.766 0.961
In 0.383 0.766 0.539
Ac 0.071 0.143 0.612
Tl 0.223 0.446 0.106
Ac 0.348 0.696 0.750
Tl 0.777 0.554 0.606
In 0.617 0.234 0.461
Ac 0.071 0.143 0.888
Ac 0.652 0.304 0.250
Tl 0.223 0.446 0.394


<B>
Density functional theory data (PBE-GGA) for a geometry-optimized Ac3Tl2In3 structure.

abc: 4.780 5.670 10.616
angles: 109.63 103.01 90.00
Positions (direct):
Tl 0.240 0.279 0.481
Tl 0.760 0.721 0.519
In 0.369 0.829 0.738
Ac 0.000 0.000 0.000
Ac 0.861 0.321 0.723
In 0.631 0.171 0.262
In 0.500 0.500 0.000
Ac 0.139 0.679 0.277


Quick one: most stable of them? <A>


<A>
Density functional theory data (PBE-GGA) for a geometry-optimized Ac6TlIn5 structure.

abc: 5.813 10.077 10.077
angles: 119.94 106.79 106.79
Positions (direct):
Ac 0.749 0.582 0.916
Ac 0.251 0.084 0.418
In 0.000 0.667 0.333
Tl 0.000 0.000 0.000
In 0.500 0.500 0.500
Ac 0.752 0.252 0.252
Ac 0.248 0.748 0.748
In 0.500 0.166 0.834
In 0.000 0.333 0.667
Ac 0.251 0.418 0.084
In 0.500 0.834 0.166
Ac 0.749 0.916 0.582


<B>
Density functional theory data (PBE-GGA) for a geometry-optimized Ac6TlIn5 structure.

abc: 7.211 10.507 8.087
angles: 49.49 81.67 77.11
Positions (direct):
Ac 0.249 0.583 0.335
Ac 0.751 0.082 0.335
In 0.500 0.829 0.342
In 0.000 0.340 0.321
Ac 0.256 0.248 0.000
Ac 0.249 0.918 0.665
In 0.500 0.500 0.000
Ac 0.744 0.752 0.000
Tl 0.000 0.000 0.000
Ac 0.751 0.417 0.665
In 0.500 0.171 0.658
In 0.000 0.660 0.679


Quick one: most stable of them? <A>


<A>
Density functional theory data (PBE-GGA) for a geometry-optimized Ac4TlIn2 structure.

abc: 5.751 5.751 9.893
angles: 73.10 73.10 60.00
Positions (direct):
Ac 0.872 0.872 0.384
Ac 0.380 0.380 0.860
In 0.250 0.250 0.249
In 0.750 0.750 0.751
Ac 0.620 0.620 0.140
Ac 0.128 0.128 0.616
Tl 0.000 0.000 0.000


<B>
Density functional theory data (PBE-GGA) for a geometry-optimized Ac4TlIn2 structure.

abc: 4.598 6.398 10.626
angles: 116.64 102.50 90.00
Positions (direct):
Tl 0.000 0.000 0.000
Ac 0.099 0.662 0.197
In 0.265 0.170 0.530
In 0.735 0.830 0.470
Ac 0.647 0.224 0.294
Ac 0.901 0.338 0.803
Ac 0.353 0.776 0.706


Quick one: most stable of them? <A>


<A>
Density functional theory data (PBE-GGA) for a geometry-optimized Ac12Tl6In structure.

abc: 9.858 9.858 9.858
angles: 108.11 108.11 108.11
Positions (direct):
Ac 0.007 0.871 0.309
In 0.000 0.000 0.000
Ac 0.871 0.309 0.007
Tl 0.648 0.342 0.196
Ac 0.444 0.114 0.349
Ac 0.114 0.349 0.444
Tl 0.196 0.648 0.342
Ac 0.993 0.129 0.691
Ac 0.691 0.993 0.129
Ac 0.129 0.691 0.993
Ac 0.309 0.007 0.871
Tl 0.352 0.658 0.804
Tl 0.804 0.352 0.658
Ac 0.886 0.651 0.556
Tl 0.342 0.196 0.648
Tl 0.658 0.804 0.352
Ac 0.556 0.886 0.651
Ac 0.651 0.556 0.886
Ac 0.349 0.444 0.114


<B>
Density functional theory data (PBE-GGA) for a geometry-optimized Ac12Tl6In structure.

abc: 9.934 9.934 9.934
angles: 109.47 109.47 109.47
Positions (direct):
Tl 0.500 0.869 0.369
Ac 0.469 0.182 0.287
Tl 0.500 0.131 0.631
Ac 0.287 0.105 0.818
Ac 0.818 0.713 0.531
Ac 0.182 0.287 0.469
In 0.000 0.000 0.000
Tl 0.369 0.500 0.869
Ac 0.713 0.895 0.182
Tl 0.131 0.631 0.500
Ac 0.182 0.713 0.895
Ac 0.105 0.818 0.287
Ac 0.287 0.469 0.182
Ac 0.895 0.182 0.713
Ac 0.818 0.287 0.105
Tl 0.631 0.500 0.131
Ac 0.713 0.531 0.818
Tl 0.869 0.369 0.500
Ac 0.531 0.818 0.713


Quick one: most stable of them? <B>


<A>
Density functional theory data (PBE-GGA) for a geometry-optimized AcTmIn structure.

abc: 3.749 3.749 16.902
angles: 83.63 83.63 60.00
Positions (direct):
In 0.857 0.857 0.430
Ac 0.581 0.581 0.257
Tm 0.307 0.307 0.079
Ac 0.419 0.419 0.743
Tm 0.693 0.693 0.921
In 0.143 0.143 0.570


<B>
Density functional theory data (PBE-GGA) for a geometry-optimized AcTmIn structure.

abc: 3.863 3.863 13.987
angles: 97.94 97.94 90.00
Positions (direct):
Tm 0.288 0.288 0.576
Ac 0.571 0.571 0.143
Ac 0.429 0.429 0.857
Tm 0.712 0.712 0.424
In 0.848 0.848 0.697
In 0.152 0.152 0.303


<C>
Density functional theory data (PBE-GGA) for a geometry-optimized AcTmIn structure.

abc: 3.971 5.412 5.412
angles: 120.00 90.00 90.00
Positions (direct):
Ac 0.333 0.333 0.667
In 0.834 0.667 0.333
Tm 0.833 0.000 0.000


<D>
Density functional theory data (PBE-GGA) for a geometry-optimized AcTmIn structure.

abc: 4.947 4.947 8.387
angles: 90.00 90.00 90.00
Positions (direct):
Ac 0.500 0.000 0.150
In 0.000 0.500 0.262
Ac 0.000 0.500 0.850
Tm 0.500 0.500 0.500
In 0.500 0.000 0.738
Tm 0.000 0.000 0.500


Quick one: most stable of them? <D>


<A>
Density functional theory data (PBE-GGA) for a geometry-optimized Ac2TmIn3 structure.

abc: 3.944 3.944 12.141
angles: 90.00 90.00 90.00
Positions (direct):
Ac 0.500 0.500 0.178
In 0.000 0.000 0.363
In 0.000 0.000 0.000
Ac 0.500 0.500 0.822
In 0.000 0.000 0.637
Tm 0.500 0.500 0.500


<B>
Density functional theory data (PBE-GGA) for a geometry-optimized Ac2TmIn3 structure.

abc: 5.917 8.453 8.453
angles: 103.33 90.00 90.00
Positions (direct):
In 0.250 0.590 0.590
In 0.000 0.193 0.807
Ac 0.250 0.155 0.434
Ac 0.750 0.845 0.566
Tm 0.250 0.897 0.897
In 0.500 0.193 0.807
In 0.750 0.410 0.410
Ac 0.750 0.566 0.845
Ac 0.250 0.434 0.155
In 0.000 0.807 0.193
In 0.500 0.807 0.193
Tm 0.750 0.103 0.103


Quick one: most stable of them? <A>